GGA-PBE CeHPtRh2, optimized geometry; DFT total energy = -6.6433 eV/atom; total moment = 0.000 μB per atom; SG = No. 123; ρ = 12.643 g/cm³
1.0
4.2104 0.0000 0.0000
0.0000 4.2104 0.0000
0.0000 0.0000 4.0157
Ce H Pt Rh
1 1 1 2
direct
0.0000 0.0000 0.0000
0.5000 0.5000 0.5000
0.5000 0.5000 0.0000
0.0000 0.5000 0.5000
0.5000 0.0000 0.5000

=====

GGA-PBE CeH8Pt2Rh, optimized geometry; DFT total energy = -4.4951 eV/atom; total moment = 0.027 μB per atom; SG = No. 164; ρ = 8.512 g/cm³
1.0
5.0045 0.0000 0.0000
-2.5022 4.3340 0.0000
0.0000 0.0000 5.7679
Ce H Pt Rh
1 8 2 1
direct
0.0000 0.0000 0.0000
0.1774 0.3549 0.3544
0.1774 0.8226 0.3544
0.3333 0.6667 0.8674
0.3549 0.1774 0.6456
0.6451 0.8226 0.3544
0.6667 0.3333 0.1326
0.8226 0.1774 0.6456
0.8226 0.6451 0.6456
0.3333 0.6667 0.1501
0.6667 0.3333 0.8499
0.0000 0.0000 0.5000

=====

GGA-PBE CeH8PtRh4, optimized geometry; DFT total energy = -5.0546 eV/atom; total moment = 0.039 μB per atom; SG = No. 160; ρ = 9.637 g/cm³
1.0
2.8455 1.6429 4.6373
-2.8455 1.6429 4.6373
0.0000 -3.2857 4.6373
Ce H Pt Rh
1 8 1 4
direct
0.0000 0.0000 0.0000
0.1037 0.7004 0.7004
0.1594 0.1594 0.1594
0.1641 0.1641 0.5181
0.1641 0.5181 0.1641
0.5181 0.1641 0.1641
0.6158 0.6158 0.6158
0.7004 0.1037 0.7004
0.7004 0.7004 0.1037
0.3818 0.3818 0.3818
0.3768 0.3768 0.8684
0.3768 0.8684 0.3768
0.7515 0.7515 0.7515
0.8684 0.3768 0.3768

=====

GGA-PBE CeH6PtRh, optimized geometry; DFT total energy = -4.7097 eV/atom; total moment = 0.059 μB per atom; SG = No. 187; ρ = 8.769 g/cm³
1.0
4.8213 0.0000 0.0000
-2.4106 4.1753 0.0000
0.0000 0.0000 4.1774
Ce H Pt Rh
1 6 1 1
direct
0.0000 0.0000 0.0000
0.5033 0.0066 0.2320
0.5033 0.0066 0.7680
0.5033 0.4967 0.2320
0.5033 0.4967 0.7680
0.9934 0.4967 0.2320
0.9934 0.4967 0.7680
0.3333 0.6667 0.5000
0.6667 0.3333 0.5000

=====

GGA-PBE CeH8PtRh2, optimized geometry; DFT total energy = -4.6534 eV/atom; total moment = 0.075 μB per atom; SG = No. 148; ρ = 8.315 g/cm³
1.0
2.3977 1.3843 5.5061
-2.3977 1.3843 5.5061
0.0000 -2.7686 5.5061
Ce H Pt Rh
1 8 1 2
direct
0.0000 0.0000 0.0000
0.1350 0.4186 0.7873
0.2127 0.8650 0.5814
0.3159 0.3159 0.3159
0.4186 0.7873 0.1350
0.5814 0.2127 0.8650
0.6841 0.6841 0.6841
0.7873 0.1350 0.4186
0.8650 0.5814 0.2127
0.5000 0.5000 0.5000
0.2162 0.2162 0.2162
0.7838 0.7838 0.7838

=====

GGA-PBE SrCeH8Pt2, optimized geometry; DFT total energy = -4.1929 eV/atom; total moment = 0.003 μB per atom; SG = No. 166; ρ = 7.722 g/cm³
1.0
2.3836 1.3762 6.8389
-2.3836 1.3762 6.8389
0.0000 -2.7524 6.8389
Sr Ce H Pt
1 1 8 2
direct
0.0000 0.0000 0.0000
0.5000 0.5000 0.5000
0.1091 0.5422 0.5422
0.1529 0.1529 0.1529
0.4578 0.4578 0.8909
0.4578 0.8909 0.4578
0.5422 0.1091 0.5422
0.5422 0.5422 0.1091
0.8471 0.8471 0.8471
0.8909 0.4578 0.4578
0.2355 0.2355 0.2355
0.7645 0.7645 0.7645